Record 1
DFT (PBE) results for a relaxed structure of CuNiPt4.

As for the energy above the lowest structure with this stoichiometry: 141 meV per atom. As for the formation energy: 3 kJ/mol of atoms. The value obtained for the electronic total energy is -5.6391 eV per atom. The total magnetic moment comes out at 0.24 μB/atom.

It has space group P2_1/m (No. 11), with a = 4.949 Å, b = 5.360 Å, c = 6.836 Å, α = 90.00°, β = 103.00° and γ = 90.00°. Symmetry generates all atoms from Cu at (0.245, 0.250, 0.489), Ni at (0.117, 0.750, 0.850), Pt at (0.108, 0.250, 0.840), Pt at (0.255, 0.750, 0.510) and Pt at (0.397, 0.501, 0.179).

---

Record 2
DFT (PBE) results for a relaxed structure of Ca2In2Ni.

As for the energy above the lowest structure with this stoichiometry: 164 meV per atom. As for the formation energy: -18 kJ/mol of atoms. The value obtained for the electronic total energy is -3.2340 eV per atom. The total magnetic moment comes out at 0.00 μB/atom.

It has space group P4/mbm (No. 127), with a = 7.115 Å, b = 7.115 Å, c = 5.090 Å, α = 90.00°, β = 90.00° and γ = 90.00°. Symmetry generates all atoms from Ca at (0.172, 0.328, 0.000), In at (0.147, 0.647, 0.500) and Ni at (0.000, 0.000, 0.500).

---

Record 3
DFT (PBE) results for a relaxed structure of Dy12HoEr6.

As for the energy above the lowest structure with this stoichiometry: 94 meV per atom. As for the formation energy: 24 kJ/mol of atoms. The value obtained for the electronic total energy is -4.3374 eV per atom. The total magnetic moment comes out at 0.00 μB/atom.

It has space group R-3 (No. 148, hexagonal axes), with a = 14.4736 Å, b = 14.4736 Å, c = 10.2598 Å, α = 90.00°, β = 90.00° and γ = 120.00°. Symmetry generates all atoms from Dy at (0.0564, 0.8020, 0.0815), Dy at (0.0652, 0.8383, 0.4175), Ho at (0.0000, 0.0000, 0.0000) and Er at (0.0521, 0.8370, 0.7605).

---

Record 4
DFT (PBE) results for a relaxed structure of Zr2TiFe.

As for the energy above the lowest structure with this stoichiometry: 46 meV per atom. As for the formation energy: -3 kJ/mol of atoms. The value obtained for the electronic total energy is -8.3982 eV per atom. The total magnetic moment comes out at 0.19 μB/atom.

It has space group P4/mmm (No. 123), with a = 3.211 Å, b = 3.211 Å, c = 7.057 Å, α = 90.00°, β = 90.00° and γ = 90.00°. Symmetry generates all atoms from Zr at (0.000, 0.000, 0.222), Ti at (0.500, 0.500, 0.500) and Fe at (0.500, 0.500, 0.000).